(1)
TiPd5Au4 | PBE | relaxed

a = 7.5994 Å, b = 7.5994 Å, c = 5.6723 Å
α = 100.17°, β = 100.17°, γ = 30.42°
Last column: nearest neighbours and their distance in Å.
Positions (direct):
Ti1 0.0000 0.0000 0.0000  6 Pd 2.74-2.84, 6 Au 2.86-2.88
Pd1 0.0000 0.0000 0.5000  4 Au 2.80, 2 Ti 2.84, 6 Pd 2.84-2.88
Pd2 0.1998 0.1998 0.6059  7 Au 2.82-2.89, 5 Pd 2.87-2.91
Pd3 0.4071 0.4071 0.1875  2 Ti 2.74, 6 Au 2.78-3.01, 4 Pd 2.84-2.91
Pd4 0.5929 0.5929 0.8125  2 Ti 2.74, 6 Au 2.78-3.01, 4 Pd 2.84-2.91
Pd5 0.8002 0.8002 0.3941  7 Au 2.82-2.89, 5 Pd 2.87-2.91
Au1 0.1986 0.1986 0.1030  7 Pd 2.82-3.01, 4 Au 2.85-2.87, 1 Ti 2.86
Au2 0.4005 0.4005 0.6889  8 Pd 2.78-2.89, 2 Au 2.85, 2 Ti 2.88
Au3 0.5995 0.5995 0.3111  8 Pd 2.78-2.89, 2 Au 2.85, 2 Ti 2.88
Au4 0.8014 0.8014 0.8970  7 Pd 2.82-3.01, 4 Au 2.85-2.87, 1 Ti 2.86

Calculated formation energy: -270.5 meV per atom
Final energy: -49.7 eV/cell
Crystal system: monoclinic
Total magnetic moment: 0.00 μB/atom

***

(2)
TiPd3Au2 | PBE | relaxed

a = 4.5532 Å, b = 8.4591 Å, c = 5.0889 Å
α = 90.00°, β = 90.00°, γ = 90.00°
Last column: nearest neighbours and their distance in Å.
Positions (direct):
Ti1 0.0000 0.1056 0.0000  5 Pd 2.57-2.81, 3 Au 2.74-2.86
Ti2 0.0000 0.8944 0.5000  5 Pd 2.57-2.81, 3 Au 2.74-2.86
Pd1 0.0000 0.4093 0.9946  1 Ti 2.57, 2 Pd 2.80, 4 Au 2.81-2.86
Pd2 0.0000 0.5907 0.4946  1 Ti 2.57, 2 Pd 2.80, 4 Au 2.81-2.86
Pd3 0.5000 0.0762 0.6801  5 Pd 2.73-2.98, 3 Au 2.80-2.88, 4 Ti 2.81-2.90
Pd4 0.5000 0.2466 0.1677  2 Ti 2.71, 5 Pd 2.73-2.98, 5 Au 2.82-2.93
Pd5 0.5000 0.7534 0.6677  2 Ti 2.71, 5 Pd 2.73-2.98, 5 Au 2.82-2.93
Pd6 0.5000 0.9238 0.1801  5 Pd 2.73-2.98, 3 Au 2.80-2.88, 4 Ti 2.81-2.90
Au1 0.0000 0.2328 0.4950  3 Ti 2.74-2.86, 7 Pd 2.80-3.03, 2 Au 2.90
Au2 0.0000 0.7672 0.9950  3 Ti 2.74-2.86, 7 Pd 2.80-3.03, 2 Au 2.90
Au3 0.5000 0.4163 0.6703  8 Pd 2.81-2.93, 4 Au 2.90-2.91
Au4 0.5000 0.5837 0.1703  8 Pd 2.81-2.93, 4 Au 2.90-2.91

Calculated formation energy: -312.0 meV per atom
Final energy: -63.8 eV/cell
Crystal system: orthorhombic
Total magnetic moment: 0.00 μB/atom

***

Copy entry 2 word for word.
TiPd3Au2 | PBE | relaxed

a = 4.5532 Å, b = 8.4591 Å, c = 5.0889 Å
α = 90.00°, β = 90.00°, γ = 90.00°
Last column: nearest neighbours and their distance in Å.
Positions (direct):
Ti1 0.0000 0.1056 0.0000  5 Pd 2.57-2.81, 3 Au 2.74-2.86
Ti2 0.0000 0.8944 0.5000  5 Pd 2.57-2.81, 3 Au 2.74-2.86
Pd1 0.0000 0.4093 0.9946  1 Ti 2.57, 2 Pd 2.80, 4 Au 2.81-2.86
Pd2 0.0000 0.5907 0.4946  1 Ti 2.57, 2 Pd 2.80, 4 Au 2.81-2.86
Pd3 0.5000 0.0762 0.6801  5 Pd 2.73-2.98, 3 Au 2.80-2.88, 4 Ti 2.81-2.90
Pd4 0.5000 0.2466 0.1677  2 Ti 2.71, 5 Pd 2.73-2.98, 5 Au 2.82-2.93
Pd5 0.5000 0.7534 0.6677  2 Ti 2.71, 5 Pd 2.73-2.98, 5 Au 2.82-2.93
Pd6 0.5000 0.9238 0.1801  5 Pd 2.73-2.98, 3 Au 2.80-2.88, 4 Ti 2.81-2.90
Au1 0.0000 0.2328 0.4950  3 Ti 2.74-2.86, 7 Pd 2.80-3.03, 2 Au 2.90
Au2 0.0000 0.7672 0.9950  3 Ti 2.74-2.86, 7 Pd 2.80-3.03, 2 Au 2.90
Au3 0.5000 0.4163 0.6703  8 Pd 2.81-2.93, 4 Au 2.90-2.91
Au4 0.5000 0.5837 0.1703  8 Pd 2.81-2.93, 4 Au 2.90-2.91

Calculated formation energy: -312.0 meV per atom
Final energy: -63.8 eV/cell
Crystal system: orthorhombic
Total magnetic moment: 0.00 μB/atom

***

> What is the formula in the first record?

TiPd5Au4